{
  "formula": "Ge2RhS",
  "functional": "GGA-PBE",
  "state": "optimized geometry",
  "raw_formation_energy_ev_per_fu": 1.3,
  "final_energy_ev_per_atom": -4.856,
  "lattice": [[-1.614, 3.663, 2.164], [1.202, 4.168, -1.374], [-3.049, 2.690, -2.042]],
  "species": ["Ge", "Ge", "S", "Rh"],
  "fractional_positions": [[0.750, 0.750, 0.750], [0.250, 0.250, 0.250], [0.000, 0.000, 0.000], [0.500, 0.500, 0.500]]
}